Density functional theory data (PBE) for a geometry-optimized NdMg11Cu structure.

It has space group C2/m (No. 12), with a = 5.7016 Å, b = 14.4010 Å, c = 7.6487 Å, α = 90.00°, β = 110.20° and γ = 90.00°. The distinct sites, in fractional coordinates, are Nd at (0.0000, 0.0000, 0.0000), Mg at (0.0000, 0.0000, 0.5000), Mg at (0.0962, 0.3967, 0.2202), Mg at (0.1821, 0.1717, 0.3581), Mg at (0.2500, 0.2500, 0.0000) and Cu at (0.0000, 0.5000, 0.5000).

The calculation puts the calculated formation energy at -0.054 eV per atom. The density is 2.7 Mg/m³. The value obtained for the volume is 22.67 A^3/atom.